*1*
The following is a PBE calculation of a relaxed structure of Tb4Pb2N, from the Alexandria database.

Lattice parameters (Å, degrees): 6.5520 6.8017 9.2675 90.00 110.12 90.00
Last column: nearest neighbours and their distance in Å.
Space group P2_1/m (No. 11)
Asymmetric unit:
Tb (0.1818, 0.2500, 0.0451) (multiplicity 2)  1 N 2.23
Tb (0.2428, 0.0021, 0.7169) (multiplicity 4)  1 N 2.19
Tb (0.2654, 0.7500, 0.3419) (multiplicity 2)  1 N 2.22
Pb (0.2354, 0.2500, 0.4073) (multiplicity 2)  8 Tb 3.25-3.47
Pb (0.3372, 0.7500, 0.0293) (multiplicity 2)  7 Tb 3.09-3.45
N (0.0880, 0.2500, 0.7903) (multiplicity 2)  4 Tb 2.19-2.23

*2*
The following is a PBE calculation of a relaxed structure of Tb4Pb2N, from the Alexandria database.

Lattice parameters (Å, degrees): 4.7764 4.7764 16.1542 90.00 90.00 90.00
Last column: nearest neighbours and their distance in Å.
Space group I4/mmm (No. 139)
Asymmetric unit:
Tb (0.0000, 0.0000, 0.1564) (multiplicity 4)  1 N 2.53
Tb (0.0000, 0.5000, 0.0000) (multiplicity 4)  2 N 2.39
Pb (0.0000, 0.0000, 0.3557) (multiplicity 4)  9 Tb 3.22-3.38
N (0.0000, 0.0000, 0.0000) (multiplicity 2)  6 Tb 2.39-2.53

Relative energies in eV/atom: *1* 0.047; *2* 0.000